A plane-wave DFT calculation with GGA-PBE was carried out for a relaxed structure of BiRu3I.

abc: 4.8657 4.8657 4.8657
angles: 90.00 90.00 90.00
Closest atoms and distances in Å follow each position.
Fractional positions:
Bi (0.0000, 0.0000, 0.0000)  12 Ru 3.44
Ru (0.0000, 0.5000, 0.5000)  2 I 2.43
Ru (0.5000, 0.0000, 0.5000)  2 I 2.43
Ru (0.5000, 0.5000, 0.0000)  2 I 2.43
I (0.5000, 0.5000, 0.5000)  6 Ru 2.43

Results
Its energy above the most stable polymorph in this dataset is 0 meV per atom. The calculation puts the calculated volume at 115 Å³/cell. The total magnetization is 2.51 μB/cell.


A plane-wave DFT calculation with GGA-PBE was carried out for a relaxed structure of VPd6Au3.

abc: 5.2172 5.2172 7.0667
angles: 90.00 90.00 120.00
Closest atoms and distances in Å follow each position.
Fractional positions:
V (0.0000, 0.0000, 0.0000)  6 Pd 2.37
Pd (0.0000, 0.3862, 0.8229)  1 V 2.37
Pd (0.0000, 0.6138, 0.1771)  1 V 2.37
Pd (0.3862, 0.0000, 0.8229)  1 V 2.37
Pd (0.3862, 0.3862, 0.1771)  1 V 2.37
Pd (0.6138, 0.0000, 0.1771)  1 V 2.37
Pd (0.6138, 0.6138, 0.8229)  1 V 2.37
Au (0.0000, 0.0000, 0.5000)  6 Au 3.01, 6 Pd 3.04
Au (0.3333, 0.6667, 0.5000)  6 Pd 2.80, 6 Au 3.01
Au (0.6667, 0.3333, 0.5000)  6 Pd 2.80, 6 Au 3.01

Results
Its energy above the most stable polymorph in this dataset is 137 meV per atom. The calculation puts the calculated volume at 167 Å³/cell. The total magnetization is 0.09 μB/cell. As for the energy of formation from the pure elements: -0.013 eV per atom.